Compound: MgAlMo2O6
Source: Alexandria
Functional: PBE+U
Structure: relaxed

E_tot = -71.0 eV per formula unit
Density = 5.051 g/cm³
V = 111 Å³/f.u.
M_tot = 5.0 μB per cell

Unit cell a=5.1725 b=5.1943 c=5.5655 alpha=91.10 beta=116.69 gamma=118.90
Space group P1 (No. 1)
Inequivalent atoms, fractional coordinates:
Mg 0.0000 0.0000 0.0000 (multiplicity 1)
Al 0.9831 0.4855 0.4761 (multiplicity 1)
Mo 0.5781 0.2911 0.8696 (multiplicity 1)
Mo 0.5825 0.7977 0.3811 (multiplicity 1)
O 0.0660 0.2150 0.6649 (multiplicity 1)
O 0.0767 0.3871 0.1909 (multiplicity 1)
O 0.4373 0.8448 0.6571 (multiplicity 1)
O 0.4922 0.0976 0.1911 (multiplicity 1)
O 0.7888 0.6937 0.1879 (multiplicity 1)
O 0.8020 0.5919 0.6601 (multiplicity 1)